## KScRe (PBE)

Data for KScRe after structural relaxation.

Output
The calculation puts the formation energy from the elements at 0.777 eV per atom. The density of states at the Fermi level comes out at 3.26 states/eV/f.u. The calculated density comes out at 6.46 g cm⁻³. For the energy above the lowest structure with this stoichiometry, the calculation gives 0 meV/atom.

a b c (Å): 3.3119 4.9210 17.0490
angles (deg): 90.00 90.00 90.00
Last column: nearest neighbours and their distance in Å.
Space group Fmm2 (No. 42)
Inequivalent atoms, fractional coordinates:
K: 0.0000 0.0000 0.0000 x4  6 K 2.97-3.31, 2 Re 3.31
Sc: 0.0000 0.0000 0.7124 x4  2 Re 2.62
Re: 0.0000 0.0000 0.3319 x4  2 Sc 2.62